No. 1
A plane-wave DFT calculation with PBE was carried out for a relaxed structure of HgRu4.

a b c (Å): 4.829 4.829 4.829
angles (deg): 99.29 99.29 132.61
Positions (direct):
Ru: 0.187 0.407 0.594
Ru: 0.813 0.593 0.406
Hg: 0.000 0.000 0.000
Ru: 0.593 0.187 0.780
Ru: 0.407 0.813 0.220

- Space-group type: No. 87
- Energy relative to the lowest polymorph listed for this composition: 0 meV per atom

=====

No. 2
A plane-wave DFT calculation with PBE was carried out for a relaxed structure of Hg3Ru2.

a b c (Å): 12.088 12.088 12.088
angles (deg): 14.20 14.20 14.20
Positions (direct):
Hg: 0.794 0.794 0.794
Hg: 0.206 0.206 0.206
Ru: 0.397 0.397 0.397
Hg: 0.000 0.000 0.000
Ru: 0.603 0.603 0.603

- Space-group type: No. 166

=====

No. 3
A plane-wave DFT calculation with PBE was carried out for a relaxed structure of Hg3Ru.

a b c (Å): 5.479 5.479 5.479
angles (deg): 90.00 90.00 90.00
Positions (direct):
Hg: 0.000 0.250 0.500
Ru: 0.500 0.500 0.500
Hg: 0.750 0.500 0.000
Hg: 0.500 0.000 0.750
Ru: 0.000 0.000 0.000
Hg: 0.500 0.000 0.250
Hg: 0.000 0.750 0.500
Hg: 0.250 0.500 0.000

- Space-group type: No. 223
- Energy relative to the lowest polymorph listed for this composition: 284 meV per atom

=====

No. 4
A plane-wave DFT calculation with PBE was carried out for a relaxed structure of Hg4Ru.

a b c (Å): 5.330 5.330 5.330
angles (deg): 90.00 90.00 90.00
Positions (direct):
Hg: 0.500 0.500 0.000
Hg: 0.000 0.000 0.000
Ru: 0.500 0.500 0.500
Hg: 0.000 0.500 0.500
Hg: 0.500 0.000 0.500

- Space-group type: No. 221

=====

No. 5
A plane-wave DFT calculation with PBE was carried out for a relaxed structure of Hg3Ru.

a b c (Å): 3.085 3.085 9.913
angles (deg): 90.00 90.00 120.00
Positions (direct):
Hg: 0.333 0.667 0.250
Hg: 0.000 0.000 0.975
Ru: 0.333 0.667 0.750
Hg: 0.000 0.000 0.525

- Space-group type: No. 187
- Energy relative to the lowest polymorph listed for this composition: 100 meV per atom

=====

No. 6
A plane-wave DFT calculation with PBE was carried out for a relaxed structure of Hg3Ru.

a b c (Å): 3.049 3.049 9.034
angles (deg): 90.00 90.00 90.01
Positions (direct):
Hg: 0.000 0.000 0.038
Hg: 0.000 0.000 0.462
Hg: 0.500 0.500 0.750
Ru: 0.500 0.500 0.250

- Space-group type: No. 123
- Energy relative to the lowest polymorph listed for this composition: 81 meV per atom

=====

Computed values of energy relative to the elements (unit: eV per formula unit) for the preceding records, in sequence: 2.18; 3.02; 2.63; 2.39; 1.90; 1.82.